a.
Compound: GaP3F
Source: the Alexandria database
Functional: GGA-PBE
Structure: optimized geometry

Structure (POSCAR):
```
GaP3F
1.0
4.407 0.000 0.000
0.000 4.407 0.000
0.000 0.000 4.407
P Ga F
3 1 1
direct
0.000 0.500 0.000 P
0.000 0.000 0.500 P
0.500 0.000 0.000 P
0.500 0.500 0.500 Ga
0.000 0.000 0.000 F
```

As for the spin magnetization: 0.0 μB per formula unit.

=====

b.
Compound: GaP3F
Source: the Alexandria database
Functional: GGA-PBE
Structure: optimized geometry

Structure (POSCAR):
```
GaP3F
1.0
4.682 0.000 0.000
0.000 4.682 0.000
0.000 0.000 4.682
P Ga F
3 1 1
direct
0.000 0.500 0.000 P
0.000 0.000 0.500 P
0.500 0.000 0.000 P
0.000 0.000 0.000 Ga
0.500 0.500 0.500 F
```

As for the spin magnetization: 0.0 μB per formula unit.

=====

Energy above the most stable structure, in kJ/mol of atoms: a 0.0; b 12.9

=====

a.
Compound: GaP2SF
Source: the Alexandria database
Functional: GGA-PBE
Structure: optimized geometry

Structure (POSCAR):
```
GaP2SF
1.0
-3.875 -2.570 -0.822
0.336 -1.888 4.315
-2.610 3.395 1.688
P S Ga F
2 1 1 1
direct
0.000 0.500 0.000 P
0.500 0.000 0.000 P
0.000 0.000 0.500 S
0.000 0.000 0.000 Ga
0.500 0.500 0.500 F
```

As for the spin magnetization: 0.0 μB per formula unit.

=====

b.
Compound: GaP2SF
Source: the Alexandria database
Functional: GGA-PBE
Structure: optimized geometry

Structure (POSCAR):
```
GaP2SF
1.0
-2.787 2.943 0.735
-2.045 -1.085 -3.408
-2.882 -3.434 2.823
P S Ga F
2 1 1 1
direct
0.000 0.500 0.000 P
0.500 0.000 0.000 P
0.000 0.000 0.500 S
0.500 0.500 0.500 Ga
0.000 0.000 0.000 F
```

As for the spin magnetization: 0.0 μB per formula unit.

=====

Energy above the most stable structure, in kJ/mol of atoms: a 9.9; b 0.0

=====

a.
Compound: GaPS2F
Source: the Alexandria database
Functional: GGA-PBE
Structure: optimized geometry

Structure (POSCAR):
```
GaPS2F
1.0
-3.125 -2.572 -2.206
-0.745 -2.406 3.861
-3.478 3.129 1.278
P S Ga F
1 2 1 1
direct
0.000 0.000 0.500 P
0.000 0.500 0.000 S
0.500 0.000 0.000 S
0.000 0.000 0.000 Ga
0.500 0.500 0.500 F
```

As for the spin magnetization: 0.5 μB per formula unit.

=====

b.
Compound: GaPS2F
Source: the Alexandria database
Functional: GGA-PBE
Structure: optimized geometry

Structure (POSCAR):
```
GaPS2F
1.0
5.055 0.000 0.000
0.000 5.055 0.000
0.000 0.000 3.661
P S Ga F
1 2 1 1
direct
0.000 0.000 0.500 P
0.000 0.500 0.000 S
0.500 0.000 0.000 S
0.500 0.500 0.500 Ga
0.000 0.000 0.000 F
```

As for the spin magnetization: 0.0 μB per formula unit.

=====

Energy above the most stable structure, in kJ/mol of atoms: a 4.2; b 0.0

=====

a.
Compound: GaPbF5
Source: the Alexandria database
Functional: GGA-PBE
Structure: optimized geometry

Structure (POSCAR):
```
GaPbF5
1.0
3.740 0.000 1.370
1.523 5.422 1.631
-0.027 0.119 5.862
Ga Pb F
1 1 5
direct
0.000 0.000 0.000 Ga
0.500 0.500 0.500 Pb
0.782 0.218 0.218 F
0.000 0.279 0.721 F
0.500 0.000 0.000 F
0.000 0.721 0.279 F
0.218 0.782 0.782 F
```

As for the spin magnetization: 0.0 μB per formula unit.

=====

b.
Compound: GaPbF5
Source: the Alexandria database
Functional: GGA-PBE
Structure: optimized geometry

Structure (POSCAR):
```
GaPbF5
1.0
-0.267 -4.347 3.848
0.923 -4.952 -2.899
7.327 -2.615 1.526
Ga Pb F
2 2 10
direct
0.000 0.000 0.000 Ga
0.000 0.000 0.500 Ga
0.542 0.458 0.250 Pb
0.458 0.542 0.750 Pb
0.788 0.776 0.107 F
0.275 0.718 0.468 F
0.776 0.788 0.607 F
0.941 0.059 0.250 F
0.282 0.725 0.032 F
0.718 0.275 0.968 F
0.059 0.941 0.750 F
0.224 0.212 0.393 F
0.725 0.282 0.532 F
0.212 0.224 0.893 F
```

As for the spin magnetization: 0.0 μB per formula unit.

=====

Energy above the most stable structure, in kJ/mol of atoms: a 0.8; b 0.0

=====

a.
Compound: GaPb2F
Source: the Alexandria database
Functional: GGA-PBE
Structure: optimized geometry

Structure (POSCAR):
```
GaPb2F
1.0
-4.259 0.093 3.448
0.801 -5.302 1.133
2.898 -0.695 7.954
Pb Ga F
4 2 2
direct
0.563 0.125 0.250 Pb
0.187 0.625 0.250 Pb
0.375 0.437 0.750 Pb
0.875 0.813 0.750 Pb
0.000 0.000 0.000 Ga
0.750 0.250 0.500 Ga
0.500 0.500 0.000 F
0.250 0.750 0.500 F
```

As for the spin magnetization: 0.0 μB per formula unit.

=====

b.
Compound: GaPb2F
Source: the Alexandria database
Functional: GGA-PBE
Structure: optimized geometry

Structure (POSCAR):
```
GaPb2F
1.0
0.000 3.530 3.530
3.530 0.000 3.530
3.530 3.530 0.000
Pb Ga F
2 1 1
direct
0.250 0.250 0.250 Pb
0.750 0.750 0.750 Pb
0.500 0.500 0.500 Ga
0.000 0.000 0.000 F
```

As for the spin magnetization: 0.0 μB per formula unit.

=====

Energy above the most stable structure, in kJ/mol of atoms: a 8.0; b 0.0

=====

a.
Compound: Sr2GaPbF
Source: the Alexandria database
Functional: GGA-PBE
Structure: optimized geometry

Structure (POSCAR):
```
Sr2GaPbF
1.0
6.298 0.000 0.000
0.000 4.211 0.000
0.000 0.000 6.298
Pb Sr Ga F
1 2 1 1
direct
0.500 0.500 0.500 Pb
0.000 0.000 0.500 Sr
0.500 0.000 0.000 Sr
0.000 0.000 0.000 Ga
0.000 0.500 0.000 F
```

As for the spin magnetization: 0.0 μB per formula unit.

=====

b.
Compound: Sr2GaPbF
Source: the Alexandria database
Functional: GGA-PBE
Structure: optimized geometry

Structure (POSCAR):
```
Sr2GaPbF
1.0
6.529 0.000 0.000
0.000 4.675 0.000
0.000 0.000 6.529
Pb Sr Ga F
1 2 1 1
direct
0.000 0.000 0.000 Pb
0.000 0.000 0.500 Sr
0.500 0.000 0.000 Sr
0.500 0.500 0.500 Ga
0.000 0.500 0.000 F
```

As for the spin magnetization: 1.8 μB per formula unit.

=====

Energy above the most stable structure, in kJ/mol of atoms: a 0.0; b 25.3

=====

a.
Compound: GaPd2F
Source: the Alexandria database
Functional: GGA-PBE
Structure: optimized geometry

Structure (POSCAR):
```
GaPd2F
1.0
-1.026 5.932 2.774
-6.029 0.241 -2.744
-4.593 1.858 2.248
Ga Pd F
2 4 2
direct
0.000 0.000 0.000 Ga
0.750 0.250 0.500 Ga
0.618 0.125 0.250 Pd
0.132 0.625 0.250 Pd
0.375 0.382 0.750 Pd
0.875 0.868 0.750 Pd
0.500 0.500 0.000 F
0.250 0.750 0.500 F
```

As for the spin magnetization: 0.0 μB per formula unit.

=====

b.
Compound: GaPd2F
Source: the Alexandria database
Functional: GGA-PBE
Structure: optimized geometry

Structure (POSCAR):
```
GaPd2F
1.0
3.958 -0.722 1.451
1.203 1.556 3.798
0.619 -2.651 3.298
Ga Pd F
1 2 1
direct
0.500 0.500 0.500 Ga
0.250 0.250 0.250 Pd
0.750 0.750 0.750 Pd
0.000 0.000 0.000 F
```

As for the spin magnetization: 0.0 μB per formula unit.

=====

Energy above the most stable structure, in kJ/mol of atoms: a 12.4; b 0.0

=====

a.
Compound: PmGa2F8
Source: the Alexandria database
Functional: GGA-PBE
Structure: optimized geometry

Structure (POSCAR):
```
PmGa2F8
1.0
5.256 -0.550 -0.471
-0.088 5.750 0.054
-0.088 0.944 5.672
Pm Ga F
1 2 8
direct
0.000 0.000 0.000 Pm
0.737 0.421 0.421 Ga
0.263 0.579 0.579 Ga
0.743 0.159 0.681 F
0.257 0.319 0.841 F
0.811 0.215 0.215 F
0.189 0.785 0.785 F
0.743 0.681 0.159 F
0.257 0.841 0.319 F
0.370 0.368 0.368 F
0.630 0.632 0.632 F
```

As for the spin magnetization: 1.0 μB per formula unit.

=====

b.
Compound: PmGa2F8
Source: the Alexandria database
Functional: GGA-PBE
Structure: optimized geometry

Structure (POSCAR):
```
PmGa2F8
1.0
4.050 0.000 0.000
-0.001 5.928 -3.422
0.000 -0.001 6.845
F Ga Pm
8 2 1
direct
0.237 0.667 0.333 F
0.763 0.333 0.667 F
0.735 0.829 0.170 F
0.265 0.170 0.341 F
0.265 0.659 0.829 F
0.265 0.171 0.830 F
0.735 0.830 0.659 F
0.735 0.341 0.171 F
0.267 0.333 0.667 Ga
0.733 0.667 0.333 Ga
0.000 0.000 0.000 Pm
```

As for the spin magnetization: 0.0 μB per formula unit.

=====

Energy above the most stable structure, in kJ/mol of atoms: a 0.0; b 6.5

=====

a.
Compound: Ga3PtF
Source: the Alexandria database
Functional: GGA-PBE
Structure: optimized geometry

Structure (POSCAR):
```
Ga3PtF
1.0
-4.027 -1.952 0.161
1.661 -3.210 2.645
-1.037 2.438 3.610
Ga Pt F
3 1 1
direct
0.000 0.500 0.000 Ga
0.000 0.000 0.500 Ga
0.500 0.000 0.000 Ga
0.500 0.500 0.500 Pt
0.000 0.000 0.000 F
```

As for the spin magnetization: 0.0 μB per formula unit.

=====

b.
Compound: Ga3PtF
Source: the Alexandria database
Functional: GGA-PBE
Structure: optimized geometry

Structure (POSCAR):
```
Ga3PtF
1.0
4.801 0.000 0.000
0.000 4.801 0.000
0.000 0.000 4.801
Ga Pt F
3 1 1
direct
0.000 0.500 0.000 Ga
0.000 0.000 0.500 Ga
0.500 0.000 0.000 Ga
0.000 0.000 0.000 Pt
0.500 0.500 0.500 F
```

As for the spin magnetization: 0.0 μB per formula unit.

=====

Energy above the most stable structure, in kJ/mol of atoms: a 47.0; b 0.0

=====

a.
Compound: Pu2GaF
Source: the Alexandria database
Functional: GGA-PBE
Structure: optimized geometry

Structure (POSCAR):
```
Pu2GaF
1.0
-0.762 2.921 -0.553
-2.778 -0.903 -0.941
-2.883 0.727 7.812
F Ga Pu
1 1 2
direct
0.500 0.500 0.000 F
0.500 0.500 0.500 Ga
0.000 0.000 0.765 Pu
0.000 0.000 0.235 Pu
```

As for the spin magnetization: 12.0 μB per formula unit.

=====

b.
Compound: Pu2GaF
Source: the Alexandria database
Functional: GGA-PBE
Structure: optimized geometry

Structure (POSCAR):
```
Pu2GaF
1.0
4.179 0.000 0.000
2.090 3.619 0.000
2.090 1.206 4.843
F Ga Pu
1 1 2
direct
0.500 0.500 0.500 F
0.000 0.000 0.000 Ga
0.803 0.803 0.590 Pu
0.197 0.197 0.410 Pu
```

As for the spin magnetization: 1.2 μB per formula unit.

=====

Energy above the most stable structure, in kJ/mol of atoms: a 0.0; b 74.1

=====

a.
Compound: PuGa2F8
Source: the Alexandria database
Functional: GGA-PBE
Structure: optimized geometry

Structure (POSCAR):
```
PuGa2F8
1.0
3.927 0.000 0.000
-0.001 6.085 -3.512
0.000 -0.001 7.027
F Ga Pu
8 2 1
direct
0.250 0.667 0.333 F
0.750 0.333 0.667 F
0.748 0.818 0.180 F
0.252 0.180 0.362 F
0.252 0.638 0.818 F
0.252 0.182 0.820 F
0.748 0.820 0.638 F
0.748 0.362 0.182 F
0.251 0.333 0.667 Ga
0.749 0.667 0.333 Ga
0.000 0.000 0.000 Pu
```

As for the spin magnetization: 5.8 μB per formula unit.

=====

b.
Compound: PuGa2F8
Source: the Alexandria database
Functional: GGA-PBE
Structure: optimized geometry

Structure (POSCAR):
```
PuGa2F8
1.0
5.588 -0.124 -0.106
0.594 5.934 0.706
0.594 1.618 5.752
Pu Ga F
1 2 8
direct
0.000 0.000 0.000 Pu
0.668 0.366 0.366 Ga
0.332 0.634 0.634 Ga
0.818 0.124 0.627 F
0.182 0.373 0.876 F
0.683 0.175 0.175 F
0.317 0.825 0.825 F
0.818 0.627 0.124 F
0.182 0.876 0.373 F
0.335 0.420 0.420 F
0.665 0.580 0.580 F
```

As for the spin magnetization: 5.5 μB per formula unit.

=====

Energy above the most stable structure, in kJ/mol of atoms: a 1.0; b 0.0

=====

a.
Compound: RbGa2F
Source: the Alexandria database
Functional: GGA-PBE
Structure: optimized geometry

Structure (POSCAR):
```
RbGa2F
1.0
-2.982 -2.166 0.894
-0.810 -0.405 -3.683
7.615 -14.642 -2.016
Ga Rb F
4 2 2
direct
0.624 0.125 0.250 Ga
0.126 0.625 0.250 Ga
0.375 0.376 0.750 Ga
0.875 0.874 0.750 Ga
0.000 0.000 0.000 Rb
0.750 0.250 0.500 Rb
0.500 0.500 0.000 F
0.250 0.750 0.500 F
```

As for the spin magnetization: 0.0 μB per formula unit.

=====

b.
Compound: RbGa2F
Source: the Alexandria database
Functional: GGA-PBE
Structure: optimized geometry

Structure (POSCAR):
```
RbGa2F
1.0
-5.085 -1.667 0.129
-3.364 1.951 3.679
-3.941 3.313 -1.465
Ga Rb F
2 1 1
direct
0.250 0.250 0.250 Ga
0.750 0.750 0.750 Ga
0.500 0.500 0.500 Rb
0.000 0.000 0.000 F
```

As for the spin magnetization: 0.0 μB per formula unit.

=====

Energy above the most stable structure, in kJ/mol of atoms: a 0.0; b 83.3